[1]
Computed, not measured: crystalline CeHoNi2As2 at its relaxed geometry at the GGA-PBE level of DFT.

Calculated values
For the total magnetic moment, the calculation gives 0.693 μB/cell. The value obtained for the total energy is -0.461 Ry per atom. Its density of states at the Fermi level is 5.40 states/eV/cell.

Unit cell a=4.070 b=4.070 c=7.812 alpha=90.00 beta=90.00 gamma=120.00
Positions (direct):
Ce1 0.000 0.000 0.000
Ho1 0.000 0.000 0.500
Ni1 0.333 0.667 0.758
Ni2 0.667 0.333 0.242
As1 0.333 0.667 0.261
As2 0.667 0.333 0.739

=====

[2]
Computed, not measured: crystalline Ce2HoNpAs4 at its relaxed geometry at the GGA-PBE level of DFT.

Calculated values
For the total magnetic moment, the calculation gives 5.320 μB/cell. The value obtained for the total energy is -0.534 Ry per atom. Its density of states at the Fermi level is 18.79 states/eV/cell.

Unit cell a=7.186 b=4.162 c=7.218 alpha=90.00 beta=109.47 gamma=90.00
Positions (direct):
Ce1 0.000 0.000 0.000
Ce2 0.000 0.500 0.500
Ho1 0.500 0.000 0.500
Np1 0.500 0.500 0.000
As1 0.256 0.500 0.252
As2 0.257 0.000 0.752
As3 0.743 0.000 0.248
As4 0.744 0.500 0.748

=====

The highest total magnetic moment belongs to which entry?
Ce2HoNpAs4